Compound: LaTlAuSe3
Source: the Open Quantum Materials Database
Functional: GGA-PBE
Structure: relaxed

Results
* uncorrected energy: -105.70 eV/cell

CIF file:
```
data_LaTlAuSe3
_chemical_formula_sum 'La4 Tl4 Au4 Se12'
_space_group_name_H-M_alt 'C m c m'
_space_group_IT_number 63
_space_group_name_Hall '-C 2c 2'
_cell_length_a 4.1508
_cell_length_b 14.5680
_cell_length_c 11.1371
_cell_angle_alpha 90.00
_cell_angle_beta 90.00
_cell_angle_gamma 90.00
loop_
_atom_site_label
_atom_site_fract_x
_atom_site_fract_y
_atom_site_fract_z
La1 0.0000 0.0000 0.0000
Tl1 0.0000 0.2438 0.2500
Au1 0.0000 0.4710 0.7500
Se1 0.0000 0.0835 0.7500
Se2 0.0000 0.3586 0.5660
```

***

Compound: CoOs
Source: the Open Quantum Materials Database
Functional: GGA-PBE
Structure: relaxed

Results
* DFT formation energy: 1.3511 eV per atom

CIF file:
```
data_CoOs
_chemical_formula_sum 'Co4 Os4'
_space_group_name_H-M_alt 'F -4 3 m'
_space_group_IT_number 216
_space_group_name_Hall 'F -4 2 3'
_cell_length_a 5.1888
_cell_length_b 5.1888
_cell_length_c 5.1888
_cell_angle_alpha 90.00
_cell_angle_beta 90.00
_cell_angle_gamma 90.00
loop_
_atom_site_label
_atom_site_fract_x
_atom_site_fract_y
_atom_site_fract_z
Co1 0.0000 0.0000 0.0000
Os1 0.2500 0.2500 0.7500
```